# 1
Entry from Alexandria: a geometry-optimized Nb2PS2 structure (PBE).

Output
Formation energy from raw total energies ... -0.293 eV per atom
Energy relative to the lowest polymorph listed for this composition ... 48.4 meV/atom
Total magnetic moment ... 0.00 μB per atom
Symmetry ... P4/mbm
Total DFT energy (no corrections) ... -0.51848 Ry per atom

Unit cell a=7.177 b=7.177 c=3.033 alpha=90.00 beta=90.00 gamma=90.00
Atoms (fractional coordinates):
Nb1 0.169 0.331 0.000
Nb2 0.331 0.831 0.000
Nb3 0.669 0.169 0.000
Nb4 0.831 0.669 0.000
P1 0.000 0.000 0.500
P2 0.500 0.500 0.500
S1 0.131 0.631 0.500
S2 0.369 0.131 0.500
S3 0.631 0.869 0.500
S4 0.869 0.369 0.500

---

# 2
Entry from Alexandria: a geometry-optimized LiHg2Ge structure (PBE).

Output
Energy relative to the elements ... -5.3 kJ per mole of atoms
Total magnetic moment ... 0.00 μB per atom
Symmetry ... Cm
Total DFT energy (no corrections) ... -0.13510 Ry per atom

Unit cell a=3.054 b=3.054 c=8.832 alpha=93.44 beta=93.44 gamma=89.12
Atoms (fractional coordinates):
Li1 0.000 0.000 0.000
Hg1 0.468 0.468 0.780
Hg2 0.534 0.534 0.220
Ge1 0.994 0.994 0.501

---

# 3
Entry from Alexandria: a geometry-optimized La2ScTe2O2 structure (PBE).

Output
Formation energy from raw total energies ... -2.363 eV per atom
Total magnetic moment ... 0.00 μB per atom
Symmetry ... I4/mmm
Total DFT energy (no corrections) ... -0.51370 Ry per atom

Unit cell a=8.912 b=8.912 c=8.912 alpha=152.20 beta=152.20 gamma=39.73
Atoms (fractional coordinates):
La1 0.107 0.107 0.000
La2 0.893 0.893 0.000
Sc1 0.500 0.500 0.000
Te1 0.320 0.320 0.000
Te2 0.680 0.680 0.000
O1 0.000 0.500 0.500
O2 0.500 0.000 0.500

---

# 4
Entry from Alexandria: a geometry-optimized AgTe3Pd structure (PBE).

Output
Formation energy from raw total energies ... -0.115 eV per atom
Energy relative to the lowest polymorph listed for this composition ... 57.8 meV/atom
Total magnetic moment ... 0.00 μB per atom
Symmetry ... C2/c
Total DFT energy (no corrections) ... -0.26522 Ry per atom

Unit cell a=9.049 b=9.049 c=7.052 alpha=97.49 beta=97.49 gamma=112.26
Atoms (fractional coordinates):
Ag1 0.087 0.158 0.464
Ag2 0.158 0.087 0.964
Ag3 0.842 0.913 0.036
Ag4 0.913 0.842 0.536
Te1 0.078 0.752 0.992
Te2 0.145 0.469 0.363
Te3 0.248 0.922 0.508
Te4 0.293 0.446 0.869
Te5 0.446 0.293 0.369
Te6 0.469 0.145 0.863
Te7 0.531 0.855 0.137
Te8 0.554 0.707 0.631
Te9 0.707 0.554 0.131
Te10 0.752 0.078 0.492
Te11 0.855 0.531 0.637
Te12 0.922 0.248 0.008
Pd1 0.285 0.715 0.750
Pd2 0.439 0.561 0.250
Pd3 0.561 0.439 0.750
Pd4 0.715 0.285 0.250

---

# 5
Entry from Alexandria: a geometry-optimized Ta2NbB structure (PBE).

Output
Energy relative to the elements ... -28.7 kJ per mole of atoms
Total magnetic moment ... 0.00 μB per atom
Symmetry ... Cmcm
Total DFT energy (no corrections) ... -0.76515 Ry per atom

Unit cell a=5.043 b=5.043 c=7.598 alpha=90.00 beta=90.00 gamma=140.90
Atoms (fractional coordinates):
Ta1 0.145 0.855 0.555
Ta2 0.145 0.855 0.945
Ta3 0.855 0.145 0.055
Ta4 0.855 0.145 0.445
Nb1 0.445 0.555 0.750
Nb2 0.555 0.445 0.250
B1 0.266 0.734 0.250
B2 0.734 0.266 0.750

---

# 6
Entry from Alexandria: a geometry-optimized HfTa3C4 structure (PBE).

Output
Energy relative to the elements ... -27.1 kJ per mole of atoms
Energy relative to the lowest polymorph listed for this composition ... 423.0 meV/atom
Total magnetic moment ... 0.00 μB per atom
Symmetry ... P-3m1
Total DFT energy (no corrections) ... -0.77775 Ry per atom

Unit cell a=3.177 b=3.177 c=11.160 alpha=90.00 beta=90.00 gamma=120.00
Atoms (fractional coordinates):
Hf1 0.000 0.000 0.000
Ta1 0.000 0.000 0.252
Ta2 0.000 0.000 0.500
Ta3 0.000 0.000 0.748
C1 0.333 0.667 0.378
C2 0.333 0.667 0.867
C3 0.667 0.333 0.133
C4 0.667 0.333 0.622

---

# 7
Entry from Alexandria: a geometry-optimized Na2InBiH structure (PBE).

Output
Energy relative to the lowest polymorph listed for this composition ... 0.0 meV/atom
Total magnetic moment ... 0.00 μB per atom
Symmetry ... P4/mmm
Total DFT energy (no corrections) ... -0.19794 Ry per atom

Unit cell a=4.651 b=4.651 c=5.170 alpha=90.00 beta=90.00 gamma=90.00
Atoms (fractional coordinates):
Na1 0.000 0.500 0.000
Na2 0.500 0.000 0.000
In1 0.000 0.000 0.500
Bi1 0.500 0.500 0.500
H1 0.000 0.000 0.000

---

# 8
Entry from Alexandria: a geometry-optimized La2ReAu structure (PBE).

Output
Energy relative to the elements ... -16.3 kJ per mole of atoms
Energy relative to the lowest polymorph listed for this composition ... 0.0 meV/atom
Total magnetic moment ... 0.00 μB per atom
Symmetry ... P4/mmm
Total DFT energy (no corrections) ... -0.48243 Ry per atom

Unit cell a=3.588 b=3.588 c=7.744 alpha=90.00 beta=90.00 gamma=90.00
Atoms (fractional coordinates):
La1 0.000 0.000 0.227
La2 0.000 0.000 0.773
Re1 0.500 0.500 0.000
Au1 0.500 0.500 0.500

---

# 9
Entry from Alexandria: a geometry-optimized Ti7Al2N2 structure (PBE).

Output
Formation energy from raw total energies ... -0.512 eV per atom
Total magnetic moment ... 0.00 μB per atom
Symmetry ... Cmmm
Total DFT energy (no corrections) ... -0.56817 Ry per atom

Unit cell a=5.564 b=5.564 c=5.431 alpha=90.00 beta=90.00 gamma=106.38
Atoms (fractional coordinates):
Ti1 0.000 0.000 0.000
Ti2 0.000 0.500 0.233
Ti3 0.000 0.500 0.767
Ti4 0.500 0.000 0.233
Ti5 0.500 0.000 0.767
Ti6 0.500 0.500 0.232
Ti7 0.500 0.500 0.768
Al1 0.179 0.179 0.500
Al2 0.821 0.821 0.500
N1 0.277 0.723 0.000
N2 0.723 0.277 0.000

---

# 10
Entry from Alexandria: a geometry-optimized KZnN2 structure (PBE).

Output
Formation energy from raw total energies ... 1.254 eV per atom
Total magnetic moment ... 0.39 μB per atom
Symmetry ... R-3m
Total DFT energy (no corrections) ... -0.25733 Ry per atom

Unit cell a=7.082 b=7.082 c=7.082 alpha=27.02 beta=27.02 gamma=27.02
Atoms (fractional coordinates):
K1 0.000 0.000 0.000
Zn1 0.500 0.500 0.500
N1 0.123 0.123 0.123
N2 0.877 0.877 0.877

---

# 11
Entry from Alexandria: a geometry-optimized MnAlSe2 structure (PBE).

Output
Formation energy from raw total energies ... -0.012 eV per atom
Total magnetic moment ... 1.07 μB per atom
Symmetry ... P4/mmm
Total DFT energy (no corrections) ... -0.36623 Ry per atom

Unit cell a=3.323 b=3.323 c=6.640 alpha=90.00 beta=90.00 gamma=90.00
Atoms (fractional coordinates):
Mn1 0.000 0.000 0.000
Al1 0.000 0.000 0.500
Se1 0.500 0.500 0.243
Se2 0.500 0.500 0.757

---

# 12
Entry from Alexandria: a geometry-optimized Dy3Y structure (PBE).

Output
Energy relative to the elements ... 0.5 kJ per mole of atoms
Energy relative to the lowest polymorph listed for this composition ... 0.0 meV/atom
Total magnetic moment ... 0.00 μB per atom
Symmetry ... Pmm2
Total DFT energy (no corrections) ... -0.37204 Ry per atom

Unit cell a=3.632 b=5.629 c=6.291 alpha=90.00 beta=90.00 gamma=90.00
Atoms (fractional coordinates):
Dy1 0.000 0.000 0.000
Dy2 0.000 0.500 0.333
Dy3 0.500 0.500 0.834
Y1 0.500 0.000 0.500

---

Q: Among the records above, which one has the highest total DFT energy (no corrections)?
A: LiHg2Ge